(1)
Below is crystalline KCr2 at its relaxed geometry, with properties calculated at the GGA-PBE level.

Cell lengths 2.8310, 8.0200, 6.5144 Å; angles 90.00, 90.00, 90.00 degrees
Fractional coordinates of all 6 atoms:
K: 0.0000 0.0000 0.0000
K: 0.5000 0.5000 0.5000
Cr: 0.2495 0.0898 0.5000
Cr: 0.2505 0.5898 0.0000
Cr: 0.7495 0.4102 0.0000
Cr: 0.7505 0.9102 0.5000

Results
Space-group type: Pnnm
Energy of formation: 1426 meV per atom


(2)
Below is crystalline K7Cr at its relaxed geometry, with properties calculated at the GGA-PBE level.

Cell lengths 8.8500, 8.8500, 8.8500 Å; angles 60.00, 60.00, 60.00 degrees
Fractional coordinates of all 8 atoms:
K: 0.0000 0.0000 0.0000
K: 0.0000 0.0000 0.5000
K: 0.0000 0.5000 0.0000
K: 0.0000 0.5000 0.5000
K: 0.5000 0.0000 0.0000
K: 0.5000 0.0000 0.5000
K: 0.5000 0.5000 0.0000
Cr: 0.5000 0.5000 0.5000

Results
Space-group type: Fm-3m
Energy of formation: 363 meV per atom


(3)
Below is crystalline KCr2 at its relaxed geometry, with properties calculated at the GGA-PBE level.

Cell lengths 13.1631, 3.0154, 10.1511 Å; angles 90.00, 130.05, 90.00 degrees
Fractional coordinates of all 12 atoms:
K: 0.0000 0.0000 0.0000
K: 0.1591 0.5000 0.4954
K: 0.5000 0.5000 0.0000
K: 0.6591 0.0000 0.4954
Cr: 0.1865 0.0000 0.8703
Cr: 0.3006 0.5000 0.1245
Cr: 0.3435 0.0000 0.3511
Cr: 0.4973 0.0000 0.6631
Cr: 0.6865 0.5000 0.8703
Cr: 0.8006 0.0000 0.1245
Cr: 0.8435 0.5000 0.3511
Cr: 0.9973 0.5000 0.6631

Results
Space-group type: Cm
Energy of formation: 957 meV per atom


(4)
Below is crystalline K3Cr at its relaxed geometry, with properties calculated at the GGA-PBE level.

Cell lengths 13.4402, 13.5568, 4.8151 Å; angles 90.00, 90.00, 90.00 degrees
Fractional coordinates of all 16 atoms:
K: 0.0000 0.1522 0.2500
K: 0.0000 0.8478 0.7500
K: 0.2035 0.3777 0.2500
K: 0.2035 0.6223 0.7500
K: 0.2965 0.1223 0.7500
K: 0.2965 0.8777 0.2500
K: 0.5000 0.3478 0.7500
K: 0.5000 0.6522 0.2500
K: 0.7035 0.1223 0.7500
K: 0.7035 0.8777 0.2500
K: 0.7965 0.3777 0.2500
K: 0.7965 0.6223 0.7500
Cr: 0.0000 0.4349 0.7500
Cr: 0.0000 0.5651 0.2500
Cr: 0.5000 0.0651 0.2500
Cr: 0.5000 0.9349 0.7500

Results
Space-group type: Cmcm
Energy of formation: 605 meV per atom


(5)
Below is crystalline KCr2 at its relaxed geometry, with properties calculated at the GGA-PBE level.

Cell lengths 3.0096, 4.4847, 12.3707 Å; angles 90.00, 90.00, 90.00 degrees
Fractional coordinates of all 6 atoms:
K: 0.0000 0.0000 0.0000
K: 0.5000 0.5000 0.5000
Cr: 0.0000 0.0000 0.2757
Cr: 0.0000 0.0000 0.7243
Cr: 0.5000 0.5000 0.2243
Cr: 0.5000 0.5000 0.7757

Results
Space-group type: Immm
Energy of formation: 1384 meV per atom


(6)
Below is crystalline K3Cr at its relaxed geometry, with properties calculated at the GGA-PBE level.

Cell lengths 4.5292, 4.5292, 12.7802 Å; angles 90.00, 90.00, 120.00 degrees
Fractional coordinates of all 4 atoms:
K: 0.0000 0.0000 0.0000
K: 0.6667 0.3333 0.3049
K: 0.6667 0.3333 0.6951
Cr: 0.0000 0.0000 0.5000

Results
Space-group type: P-6m2
Energy of formation: 690 meV per atom


(7)
Below is crystalline KCr at its relaxed geometry, with properties calculated at the GGA-PBE level.

Cell lengths 7.1954, 7.1954, 7.1954 Å; angles 90.00, 90.00, 90.00 degrees
Fractional coordinates of all 8 atoms:
K: 0.0000 0.0000 0.0000
K: 0.0000 0.5000 0.5000
K: 0.5000 0.0000 0.5000
K: 0.5000 0.5000 0.0000
Cr: 0.0000 0.0000 0.5000
Cr: 0.0000 0.5000 0.0000
Cr: 0.5000 0.0000 0.0000
Cr: 0.5000 0.5000 0.5000

Results
Space-group type: Fm-3m
Energy of formation: 1434 meV per atom


(8)
Below is crystalline K3Cr at its relaxed geometry, with properties calculated at the GGA-PBE level.

Cell lengths 14.9843, 4.6826, 6.6543 Å; angles 90.00, 115.83, 90.00 degrees
Fractional coordinates of all 8 atoms:
K: 0.0000 0.0000 0.0000
K: 0.2080 0.0000 0.7081
K: 0.2920 0.5000 0.2919
K: 0.5000 0.5000 0.0000
K: 0.7080 0.5000 0.7081
K: 0.7920 0.0000 0.2919
Cr: 0.0000 0.5000 0.5000
Cr: 0.5000 0.0000 0.5000

Results
Space-group type: C2/m
Energy of formation: 652 meV per atom


(9)
Below is crystalline KCr at its relaxed geometry, with properties calculated at the GGA-PBE level.

Cell lengths 3.4580, 3.4580, 12.6598 Å; angles 90.00, 90.00, 120.00 degrees
Fractional coordinates of all 4 atoms:
K: 0.3333 0.6667 0.0000
K: 0.6667 0.3333 0.5000
Cr: 0.3333 0.6667 0.2623
Cr: 0.6667 0.3333 0.7623

Results
Space-group type: P6_3mc
Energy of formation: 1348 meV per atom


(10)
Below is crystalline KCr at its relaxed geometry, with properties calculated at the GGA-PBE level.

Cell lengths 9.9260, 9.9260, 9.9260 Å; angles 90.00, 90.00, 90.00 degrees
Fractional coordinates of all 16 atoms:
K: 0.2191 0.2191 0.2191
K: 0.2191 0.7809 0.7809
K: 0.2809 0.2809 0.7191
K: 0.2809 0.7191 0.2809
K: 0.7191 0.2809 0.2809
K: 0.7191 0.7191 0.7191
K: 0.7809 0.2191 0.7809
K: 0.7809 0.7809 0.2191
Cr: 0.0761 0.0761 0.9239
Cr: 0.0761 0.9239 0.0761
Cr: 0.4239 0.4239 0.4239
Cr: 0.4239 0.5761 0.5761
Cr: 0.5761 0.4239 0.5761
Cr: 0.5761 0.5761 0.4239
Cr: 0.9239 0.0761 0.0761
Cr: 0.9239 0.9239 0.9239

Results
Space-group type: I-43m
Energy of formation: 1371 meV per atom


(11)
Below is crystalline K2Cr at its relaxed geometry, with properties calculated at the GGA-PBE level.

Cell lengths 15.9718, 7.3841, 5.3234 Å; angles 90.00, 90.00, 90.00 degrees
Fractional coordinates of all 12 atoms:
K: 0.1371 0.2234 0.2500
K: 0.1371 0.7766 0.7500
K: 0.3629 0.2766 0.7500
K: 0.3629 0.7234 0.2500
K: 0.6371 0.2766 0.7500
K: 0.6371 0.7234 0.2500
K: 0.8629 0.2234 0.2500
K: 0.8629 0.7766 0.7500
Cr: 0.0000 0.4059 0.7500
Cr: 0.0000 0.5941 0.2500
Cr: 0.5000 0.0941 0.2500
Cr: 0.5000 0.9059 0.7500

Results
Space-group type: Cmcm
Energy of formation: 801 meV per atom


(12)
Below is crystalline KCr2 at its relaxed geometry, with properties calculated at the GGA-PBE level.

Cell lengths 8.7277, 3.0321, 12.2229 Å; angles 90.00, 91.81, 90.00 degrees
Fractional coordinates of all 12 atoms:
K: 0.1318 0.0000 0.1676
K: 0.3682 0.5000 0.8324
K: 0.6318 0.5000 0.1676
K: 0.8682 0.0000 0.8324
Cr: 0.0939 0.5000 0.5988
Cr: 0.1360 0.0000 0.4395
Cr: 0.3640 0.5000 0.5605
Cr: 0.4061 0.0000 0.4012
Cr: 0.5939 0.0000 0.5988
Cr: 0.6360 0.5000 0.4395
Cr: 0.8640 0.0000 0.5605
Cr: 0.9061 0.5000 0.4012

Results
Space-group type: C2/m
Energy of formation: 725 meV per atom


Question: Which formula does entry 9 have?
Answer: KCr